Record 1
## CaBIrO5 (PBE)

Data for a geometry-optimized CaBIrO5 structure.

a b c (Å): 5.321 5.321 7.004
angles (deg): 104.66 104.66 106.54
Fractional positions:
O  0.679  0.112  0.367
Ca  0.653  0.347  0.750
O  0.753  0.594  0.408
Ca  0.347  0.653  0.250
O  0.888  0.321  0.133
B  0.693  0.307  0.250
O  0.083  0.917  0.250
O  0.112  0.679  0.867
Ir  0.000  0.000  0.500
O  0.247  0.406  0.592
O  0.406  0.247  0.092
O  0.917  0.083  0.750
B  0.307  0.693  0.750
O  0.321  0.888  0.633
O  0.594  0.753  0.908
Ir  0.000  0.000  0.000

Values from the calculation:
formation energy without anion corrections: -1822 meV per atom
E: -7.1130 eV/atom
space-group type: C2/c

Record 2
## Ca2BIrPd (PBE)

Data for a geometry-optimized Ca2BIrPd structure.

a b c (Å): 5.134 3.947 5.134
angles (deg): 90.00 90.00 90.00
Fractional positions:
Ca  0.500  0.000  0.000
Ca  0.000  0.000  0.500
B  0.000  0.000  0.000
Ir  0.000  0.500  0.000
Pd  0.500  0.500  0.500

Values from the calculation:
E: -5.1865 eV/atom
space-group type: P4/mmm
energy of formation: -0.24 eV per atom

Record 3
## CaBIrPd2 (PBE)

Data for a geometry-optimized CaBIrPd2 structure.

a b c (Å): 4.328 4.328 4.158
angles (deg): 90.00 90.00 90.00
Fractional positions:
Pd  0.000  0.500  0.000
Pd  0.500  0.000  0.000
B  0.000  0.000  0.000
Ca  0.500  0.500  0.500
Ir  0.000  0.000  0.500

Values from the calculation:
E: -6.1080 eV/atom
space-group type: P4/mmm
energy of formation: -0.52 eV per atom

Record 4
## CaB6Ir2Pt2 (PBE)

Data for a geometry-optimized CaB6Ir2Pt2 structure.

a b c (Å): 5.450 6.034 6.826
angles (deg): 112.16 89.98 63.17
Fractional positions:
Pt  0.107  0.787  0.810
B  0.106  0.473  0.882
Ir  0.144  0.712  0.215
Ir  0.856  0.288  0.785
B  0.894  0.527  0.118
B  0.579  0.527  0.118
B  0.939  0.123  0.449
B  0.061  0.877  0.551
B  0.421  0.473  0.882
Ca  0.500  0.000  0.500
Pt  0.893  0.213  0.190

Values from the calculation:
E: -6.5888 eV/atom
space-group type: C2/m
energy of formation: -0.06 eV per atom

Record 5
## CaBIrPt2 (PBE)

Data for a geometry-optimized CaBIrPt2 structure.

a b c (Å): 4.322 4.322 4.184
angles (deg): 90.00 90.00 90.00
Fractional positions:
Pt  0.500  0.000  0.000
Ir  0.000  0.000  0.500
Pt  0.000  0.500  0.000
Ca  0.500  0.500  0.500
B  0.000  0.000  0.000

Values from the calculation:
E: -6.4804 eV/atom
space-group type: P4/mmm
energy of formation: -0.56 eV per atom

Record 6
## Ca2B2IrRh5 (PBE)

Data for a geometry-optimized Ca2B2IrRh5 structure.

a b c (Å): 2.911 9.933 9.933
angles (deg): 90.00 90.00 90.00
Fractional positions:
Rh  0.500  0.932  0.226
Ca  0.000  0.679  0.179
Rh  0.500  0.432  0.274
Rh  0.500  0.000  0.500
Rh  0.500  0.774  0.932
B  0.000  0.880  0.380
Rh  0.500  0.274  0.568
B  0.000  0.620  0.880
Rh  0.500  0.226  0.068
B  0.000  0.120  0.620
Rh  0.500  0.568  0.726
Rh  0.500  0.726  0.432
Rh  0.500  0.068  0.774
Ir  0.000  0.000  0.000
Ca  0.000  0.179  0.321
Rh  0.500  0.500  0.000
B  0.000  0.380  0.120
Ca  0.000  0.821  0.679
Ca  0.000  0.321  0.821
Ir  0.000  0.500  0.500

Values from the calculation:
E: -6.7233 eV/atom
space-group type: P4/mbm
energy of formation: -0.43 eV per atom